Record 1
## LuPaAgPt (PBE)

Data for LuPaAgPt after structural relaxation.

## Properties
Its total energy is -6.1775 eV per atom. The calculation puts the volume at 353 Å³ per cell. As for the formation energy: -450 meV per atom.

Lattice parameters (Å, degrees): 7.071 7.071 7.071 90.00 90.00 90.00
Space group F-43m (No. 216)
Unique sites:
Lu 0.000 0.000 0.000 x4
Pa 0.000 0.000 0.500 x4
Ag 0.250 0.250 0.750 x4
Pt 0.250 0.250 0.250 x4

Record 2
## CaGaAs2Se (PBE)

Data for CaGaAs2Se after structural relaxation.

## Properties
The energy relative to the elements, uncorrected is 0.44 eV/atom. As for the excess energy over the best structure of this formula in the dataset: 0.559 eV per atom. Its total energy is -3.1220 eV per atom. The calculation puts the volume at 160 Å³ per cell.

Lattice parameters (Å, degrees): 5.445 5.445 5.412 90.00 90.00 90.00
Space group P4/mmm (No. 123)
Unique sites:
Ca 0.000 0.000 0.000 x1
Ga 0.500 0.500 0.500 x1
As 0.000 0.500 0.000 x2
Se 0.000 0.000 0.500 x1

Record 3
## Cr3Fe (PBE)

Data for Cr3Fe after structural relaxation.

## Properties
Its total energy is -9.2636 eV per atom. The calculation puts the volume at 137 Å³ per cell. As for the formation energy: 70 meV per atom.

Lattice parameters (Å, degrees): 8.0914 8.0914 2.4185 90.00 90.00 120.00
Space group R-3m (No. 166, hexagonal axes)
Unique sites:
Cr 0.0000 0.5000 0.0000 x9
Fe 0.0000 0.0000 0.0000 x3

Record 4
## ZnPt4Rh (PBE)

Data for ZnPt4Rh after structural relaxation.

## Properties
As for the excess energy over the best structure of this formula in the dataset: 0.154 eV per atom. Its total energy is -5.4144 eV per atom. The calculation puts the volume at 202 Å³ per cell. As for the formation energy: 50 meV per atom.

Lattice parameters (Å, degrees): 4.544 6.946 6.690 90.00 106.86 90.00
Space group P2_1/m (No. 11)
Unique sites:
Zn 0.092 0.250 0.098 x2
Pt 0.092 0.750 0.311 x2
Pt 0.280 0.560 0.698 x4
Pt 0.483 0.750 0.072 x2
Rh 0.326 0.250 0.480 x2

Record 5
## Mn2Zn2S (PBE)

Data for Mn2Zn2S after structural relaxation.

## Properties
The energy relative to the elements, uncorrected is 0.19 eV/atom. As for the excess energy over the best structure of this formula in the dataset: 0.218 eV per atom. Its total energy is -4.8143 eV per atom. The calculation puts the volume at 160 Å³ per cell.

Lattice parameters (Å, degrees): 3.399 3.399 13.832 90.00 90.00 90.00
Space group I4/mmm (No. 139)
Unique sites:
Mn 0.000 0.000 0.094 x4
Zn 0.000 0.500 0.250 x4
S 0.000 0.000 0.500 x2

Record 6
## LiHgP2S (PBE)

Data for LiHgP2S after structural relaxation.

## Properties
The energy relative to the elements, uncorrected is 0.73 eV/atom. As for the excess energy over the best structure of this formula in the dataset: 0.000 eV per atom. Its total energy is -2.7055 eV per atom. The calculation puts the volume at 92 Å³ per cell.

Lattice parameters (Å, degrees): 4.513 4.513 4.519 90.00 90.00 90.00
Space group P4/mmm (No. 123)
Unique sites:
Li 0.000 0.000 0.000 x1
Hg 0.500 0.500 0.500 x1
P 0.000 0.500 0.000 x2
S 0.000 0.000 0.500 x1

Look up the volume of the fifth one.
160 Å³ per cell

Copy entry 5 word for word.
## Mn2Zn2S (PBE)

Data for Mn2Zn2S after structural relaxation.

## Properties
The energy relative to the elements, uncorrected is 0.19 eV/atom. As for the excess energy over the best structure of this formula in the dataset: 0.218 eV per atom. Its total energy is -4.8143 eV per atom. The calculation puts the volume at 160 Å³ per cell.

Lattice parameters (Å, degrees): 3.399 3.399 13.832 90.00 90.00 90.00
Space group I4/mmm (No. 139)
Unique sites:
Mn 0.000 0.000 0.094 x4
Zn 0.000 0.500 0.250 x4
S 0.000 0.000 0.500 x2